1.
La2Dy3Er6Tm after structural relaxation, computed with PBE.

Cell lengths 6.1616, 10.6676, 11.7516 Å; angles 90.00, 100.04, 90.00 degrees
Space group C2/m (No. 12)
One atom of each set of equivalent atoms:
La (0.0000, 0.1664, 0.0000) x4
Dy (0.0000, 0.0000, 0.5000) x2
Dy (0.0000, 0.3335, 0.5000) x4
Er (0.2470, 0.5000, 0.7460) x4
Er (0.2493, 0.1659, 0.7463) x8
Tm (0.0000, 0.5000, 0.0000) x2

Output
Electronic total energy in eV/cell: -110.46



2.
ZrHO2 after structural relaxation, computed with PBE.

Cell lengths 3.0849, 3.0849, 16.8692 Å; angles 90.00, 90.00, 120.00 degrees
Space group R-3m (No. 166, hexagonal axes)
One atom of each set of equivalent atoms:
Zr (0.0000, 0.0000, 0.0000) x3
H (0.0000, 0.0000, 0.5000) x3
O (0.0000, 0.0000, 0.1150) x6

Output
Electronic total energy in eV/cell: -65.67



3.
ZrVMo14 after structural relaxation, computed with PBE.

Cell lengths 6.3424, 8.9961, 8.9763 Å; angles 90.00, 90.00, 90.00 degrees
Space group Cmmm (No. 65)
One atom of each set of equivalent atoms:
Zr (0.0000, 0.0000, 0.0000) x2
V (0.0000, 0.5000, 0.0000) x2
Mo (0.0000, 0.0000, 0.5000) x2
Mo (0.0000, 0.2515, 0.2504) x8
Mo (0.0000, 0.5000, 0.5000) x2
Mo (0.2461, 0.5000, 0.2544) x8
Mo (0.2500, 0.2500, 0.0000) x4
Mo (0.2500, 0.2500, 0.5000) x4

Output
Electronic total energy in eV/cell: -339.87



4.
Mn2GaSn after structural relaxation, computed with PBE.

Cell lengths 6.4139, 6.4139, 6.4139 Å; angles 90.00, 90.00, 90.00 degrees
Space group Fm-3m (No. 225)
One atom of each set of equivalent atoms:
Mn (0.2500, 0.2500, 0.2500) x8
Ga (0.0000, 0.0000, 0.0000) x4
Sn (0.0000, 0.0000, 0.5000) x4

Output
Electronic total energy in eV/cell: -98.40



5.
FeTc2Os after structural relaxation, computed with PBE.

Cell lengths 6.0856, 6.0856, 6.0856 Å; angles 90.00, 90.00, 90.00 degrees
Space group Fm-3m (No. 225)
One atom of each set of equivalent atoms:
Fe (0.0000, 0.0000, 0.0000) x4
Tc (0.2500, 0.2500, 0.2500) x8
Os (0.0000, 0.0000, 0.5000) x4

Output
Electronic total energy in eV/cell: -156.81



6.
Cd2PbAu after structural relaxation, computed with PBE.

Cell lengths 15.4012, 8.4797, 5.9212 Å; angles 90.00, 90.00, 90.00 degrees
Space group Pnma (No. 62)
One atom of each set of equivalent atoms:
Cd (0.0326, 0.0459, 0.2349) x8
Cd (0.2148, 0.5450, 0.4747) x8
Pb (0.1156, 0.2500, 0.7549) x4
Pb (0.1337, 0.7500, 0.9656) x4
Au (0.0660, 0.7500, 0.4690) x4
Au (0.1833, 0.2500, 0.2526) x4

Output
Electronic total energy in eV/cell: -73.48